Crystalline KMn2SeO at its relaxed geometry, computed with PBE+U.

Values from the calculation:
SG: P4/mmm, No. 123
E_tot, eV per atom: -4.60

```
KMn2SeO
1.0
-4.6207 -1.4559 -0.5135
1.9365 -5.1894 -2.7115
0.2080 -2.1929 4.3454
Se K Mn O
1 1 2 1
Cartesian
0.0000 0.0000 0.0000
0.9682 -2.5947 -1.3558
-2.3103 -0.7280 -0.2568
0.1040 -1.0964 2.1727
-1.2381 -4.4191 0.5602
```